VASP calculation (PBE) on a relaxed MgUOsRh crystal.

Structure (CIF):
```
data_MgUOsRh
_space_group_name_H-M_alt 'P 1'
_space_group_IT_number 1
_cell_length_a 4.6451
_cell_length_b 4.6451
_cell_length_c 4.6451
_cell_angle_alpha 60.00
_cell_angle_beta 60.00
_cell_angle_gamma 60.00
loop_
_space_group_symop_operation_xyz
'x,y,z'
loop_
_atom_site_label
_atom_site_type_symbol
_atom_site_fract_x
_atom_site_fract_y
_atom_site_fract_z
Mg1 Mg 0.0000 0.0000 0.0000
U1 U 0.5000 0.5000 0.5000
Os1 Os 0.7500 0.7500 0.7500
Rh1 Rh 0.2500 0.2500 0.2500
```

Calculated values
* E_form: -0.9 eV/f.u.
* crystal system: cubic